one | LiDyMg2: optimized geometry, PBE.

a = 10.9050 Å, b = 10.9050 Å, c = 10.9050 Å
α = 17.31°, β = 17.31°, γ = 17.31°
Closest atoms and distances in Å follow each position.
Positions (direct):
Li (0.0000, 0.0000, 0.0000)  6 Mg 3.14, 6 Li 3.28
Dy (0.5000, 0.5000, 0.5000)  6 Dy 3.28, 6 Mg 3.44
Mg (0.2558, 0.2558, 0.2558)  3 Li 3.14, 6 Mg 3.28, 3 Dy 3.44
Mg (0.7442, 0.7442, 0.7442)  3 Li 3.14, 6 Mg 3.28, 3 Dy 3.44

## Properties
Density of states at the Fermi level (states/eV/f.u.): 2.736

=====

two | LiDyMg2: optimized geometry, PBE.

a = 5.4494 Å, b = 5.4494 Å, c = 3.4307 Å
α = 90.00°, β = 90.00°, γ = 90.00°
Closest atoms and distances in Å follow each position.
Positions (direct):
Li (0.0000, 0.0000, 0.0000)  8 Mg 3.22, 2 Li 3.43
Dy (0.5000, 0.5000, 0.0000)  8 Mg 3.22, 2 Dy 3.43
Mg (0.0000, 0.5000, 0.5000)  4 Dy 3.22, 4 Li 3.22, 2 Mg 3.43
Mg (0.5000, 0.0000, 0.5000)  4 Dy 3.22, 4 Li 3.22, 2 Mg 3.43

## Properties
Density of states at the Fermi level (states/eV/f.u.): 3.068

=====

Out of the structures above, which one is the least stable? Solution: one.